Entry 1:
Density functional theory data (PBE) for crystalline FeTc2HgN at its relaxed geometry.

Cell: 4.111 4.111 3.953 Å, 90.00 90.00 90.00°
Element x y z (fractional)
1 Fe 0.000 0.000 0.500
2 N 0.000 0.000 0.000
3 Hg 0.500 0.500 0.500
4 Tc 0.000 0.500 0.000
5 Tc 0.500 0.000 0.000

Properties
* formation energy from raw total energies: 222 meV/atom
* total DFT energy (no corrections): -36.71 eV per cell
* total magnetization: 0.3836 μB/atom
* symmetry: P4/mmm



Entry 2:
Density functional theory data (PBE) for crystalline Sm2LuZr at its relaxed geometry.

Cell: 4.042 4.042 7.197 Å, 90.00 90.00 90.00°
Element x y z (fractional)
1 Lu 0.500 0.500 0.000
2 Zr 0.500 0.500 0.500
3 Sm 0.000 0.000 0.729
4 Sm 0.000 0.000 0.271

Properties
* energy relative to the elements: 0.1663 eV per atom
* ΔE to the lowest computed polymorph: 60.6 meV/atom
* total DFT energy (no corrections): -21.84 eV per cell
* total magnetization: 0.0000 μB/atom
* symmetry: P4/mmm



Entry 3:
Density functional theory data (PBE) for crystalline Mg6ZnPb at its relaxed geometry.

Cell: 4.457 4.457 8.890 Å, 90.00 90.00 90.00°
Element x y z (fractional)
1 Mg 0.500 0.500 0.000
2 Mg 0.500 0.500 0.500
3 Mg 0.500 0.000 0.267
4 Mg 0.500 0.000 0.733
5 Mg 0.000 0.500 0.267
6 Mg 0.000 0.500 0.733
7 Zn 0.000 0.000 0.500
8 Pb 0.000 0.000 0.000

Properties
* energy relative to the elements: -0.0394 eV per atom
* total DFT energy (no corrections): -14.87 eV per cell
* total magnetization: 0.0000 μB/atom
* symmetry: P4/mmm



Entry 4:
Density functional theory data (PBE) for crystalline GaRe2O at its relaxed geometry.

Cell: 4.193 4.193 4.193 Å, 60.00 60.00 60.00°
Element x y z (fractional)
1 Re 0.250 0.250 0.250
2 Re 0.750 0.750 0.750
3 O 0.000 0.000 0.000
4 Ga 0.500 0.500 0.500

Properties
* formation energy from raw total energies: 710 meV/atom
* ΔE to the lowest computed polymorph: 225.5 meV/atom
* total DFT energy (no corrections): -30.04 eV per cell
* total magnetization: 0.0000 μB/atom
* symmetry: Fm-3m



Entry 5:
Density functional theory data (PBE) for crystalline Re5Tc7 at its relaxed geometry.

Cell: 4.358 4.360 11.523 Å, 90.01 100.88 120.02°
Element x y z (fractional)
1 Re 0.707 0.853 0.560
2 Re 0.293 0.147 0.440
3 Re 0.204 0.602 0.806
4 Re 0.796 0.398 0.194
5 Re 0.000 0.000 0.000
6 Tc 0.550 0.775 0.328
7 Tc 0.450 0.225 0.672
8 Tc 0.856 0.928 0.784
9 Tc 0.144 0.072 0.216
10 Tc 0.617 0.308 0.925
11 Tc 0.000 0.500 0.500
12 Tc 0.383 0.692 0.075

Properties
* energy relative to the elements: 0.3533 eV per atom
* total DFT energy (no corrections): -130.56 eV per cell
* total magnetization: 0.0000 μB/atom
* symmetry: C2/m